Record 1
## AgSnPd2Cl (PBE-GGA)

Data for AgSnPd2Cl after structural relaxation.

a b c (Å): 4.539 4.539 5.543
angles (deg): 90.00 90.00 90.00
Space group P4/mmm (No. 123)
Symmetry-distinct sites (fractional):
Ag1 0.000 0.000 0.000 [1 per cell]
Sn1 0.500 0.500 0.000 [1 per cell]
Pd1 0.000 0.500 0.500 [2 per cell]
Cl1 0.500 0.500 0.500 [1 per cell]

Values from the calculation:
E: -3.395 eV/atom
Energy relative to the lowest polymorph listed for this composition: 0.064 eV per atom
V: 114.20 Å³ per cell
DOS at the Fermi energy: 0.3700 states/eV/atom
E_form (uncorrected): 422.6 meV per atom

Record 2
## Tl3Ag2PdCl6 (PBE-GGA)

Data for Tl3Ag2PdCl6 after structural relaxation.

a b c (Å): 7.6954 7.6954 6.5987
angles (deg): 90.00 90.00 120.00
Space group P-3m1 (No. 164)
Symmetry-distinct sites (fractional):
Tl1 0.0000 0.0000 0.0000 [1 per cell]
Tl2 0.3333 0.6667 0.6203 [2 per cell]
Ag1 0.3333 0.6667 0.0574 [2 per cell]
Pd1 0.0000 0.0000 0.5000 [1 per cell]
Cl1 0.1765 0.3529 0.3018 [6 per cell]

Values from the calculation:
E: -2.955 eV/atom
V: 338.42 Å³ per cell
DOS at the Fermi energy: 0.2101 states/eV/atom
E_form (uncorrected): -532.3 meV per atom

Record 3
## Tl3AgPd2Cl9 (PBE-GGA)

Data for Tl3AgPd2Cl9 after structural relaxation.

a b c (Å): 7.1101 7.1101 8.7087
angles (deg): 90.00 90.00 120.00
Space group P-3m1 (No. 164)
Symmetry-distinct sites (fractional):
Tl1 0.0000 0.0000 0.0000 [1 per cell]
Tl2 0.3333 0.6667 0.6609 [2 per cell]
Ag1 0.0000 0.0000 0.5000 [1 per cell]
Pd1 0.3333 0.6667 0.1608 [2 per cell]
Cl1 0.0000 0.5000 0.0000 [3 per cell]
Cl2 0.1713 0.3426 0.3246 [6 per cell]

Values from the calculation:
E: -3.139 eV/atom
V: 381.27 Å³ per cell
DOS at the Fermi energy: 0.2828 states/eV/atom
E_form (uncorrected): -675.8 meV per atom

Record 4
## Tl2AgPdCl5 (PBE-GGA)

Data for Tl2AgPdCl5 after structural relaxation.

a b c (Å): 4.361 17.437 13.391
angles (deg): 90.00 90.00 90.00
Space group Cmc2_1 (No. 36)
Symmetry-distinct sites (fractional):
Tl1 0.000 0.091 0.000 [4 per cell]
Tl2 0.000 0.151 0.615 [4 per cell]
Ag1 0.000 0.197 0.351 [4 per cell]
Pd1 0.000 0.476 0.751 [4 per cell]
Cl1 0.000 0.043 0.314 [4 per cell]
Cl2 0.000 0.267 0.941 [4 per cell]
Cl3 0.000 0.349 0.691 [4 per cell]
Cl4 0.000 0.396 0.306 [4 per cell]
Cl5 0.000 0.464 0.052 [4 per cell]

Values from the calculation:
E: -3.092 eV/atom
V: 1018.37 Å³ per cell
DOS at the Fermi energy: 0.1052 states/eV/atom
E_form (uncorrected): -646.1 meV per atom

Record 5
## TlAgPd2Cl6 (PBE-GGA)

Data for TlAgPd2Cl6 after structural relaxation.

a b c (Å): 6.807 6.811 6.996
angles (deg): 60.92 89.99 60.02
Space group P1 (No. 1)
Symmetry-distinct sites (fractional):
Tl1 0.000 0.000 0.000 [1 per cell]
Ag1 0.527 0.944 0.583 [1 per cell]
Pd1 0.244 0.511 0.733 [1 per cell]
Pd2 0.746 0.506 0.241 [1 per cell]
Cl1 0.100 0.401 0.489 [1 per cell]
Cl2 0.452 0.560 0.978 [1 per cell]
Cl3 0.493 0.615 0.485 [1 per cell]
Cl4 0.539 0.009 0.982 [1 per cell]
Cl5 0.887 0.008 0.485 [1 per cell]
Cl6 0.991 0.469 0.983 [1 per cell]

Values from the calculation:
E: -3.174 eV/atom
V: 232.60 Å³ per cell
DOS at the Fermi energy: 0.2304 states/eV/atom
E_form (uncorrected): -505.7 meV per atom

Record 6
## AgPdWCl2 (PBE-GGA)

Data for AgPdWCl2 after structural relaxation.

a b c (Å): 4.722 4.722 5.373
angles (deg): 90.00 90.00 90.00
Space group P4/mmm (No. 123)
Symmetry-distinct sites (fractional):
Ag1 0.000 0.000 0.000 [1 per cell]
Pd1 0.000 0.000 0.500 [1 per cell]
W1 0.500 0.500 0.000 [1 per cell]
Cl1 0.000 0.500 0.500 [2 per cell]

Values from the calculation:
E: -3.722 eV/atom
V: 119.80 Å³ per cell
DOS at the Fermi energy: 1.4452 states/eV/atom
E_form (uncorrected): 1215.7 meV per atom